Entry 1:
First-principles (PBE) data for a relaxed structure of PmCuH6Rh, as listed in the Alexandria database.

Cell and atoms, written as POSCAR:
```
PmCuH6Rh
1.0
4.599 0.000 0.000
-2.299 3.983 0.000
0.000 0.000 4.330
Pm Cu H Rh
1 1 6 1
direct
0.000 0.000 0.000
0.333 0.667 0.500
0.503 0.006 0.239
0.503 0.006 0.761
0.503 0.497 0.239
0.503 0.497 0.761
0.994 0.497 0.239
0.994 0.497 0.761
0.667 0.333 0.500
```

Properties
Symmetry: P-6m2, No. 187
Crystal system: hexagonal

=====

Entry 2:
First-principles (PBE) data for a relaxed structure of TcSn3O, as listed in the Alexandria database.

Cell and atoms, written as POSCAR:
```
TcSn3O
1.0
4.659 0.000 0.000
0.000 4.659 0.000
0.000 0.000 4.659
Tc Sn O
1 3 1
direct
0.000 0.000 0.000
0.000 0.500 0.500
0.500 0.000 0.500
0.500 0.500 0.000
0.500 0.500 0.500
```

Properties
Energy above the lowest structure with this stoichiometry (meV/atom): 0
Symmetry: Pm-3m, No. 221
Crystal system: cubic
E_form (uncorrected) (eV per atom): 0.217

=====

| no. | total DFT energy (no corrections) (Ry per atom) | density (g cm⁻³) |
| --- | --- | --- |
| 1 | -0.321 | 6.6 |
| 2 | -0.386 | 7.7 |